Record 1
Computed, not measured: a geometry-optimized Na4Nd3GaO8 structure at the GGA-PBE level of DFT.

Cell lengths 6.8713, 6.8546, 7.0241 Å; angles 119.63, 119.28, 90.00 degrees
Closest atoms and distances in Å follow each position.
Atoms (fractional coordinates):
O1 0.2245 0.3075 0.0242  1 Ga 2.03
O2 0.2003 0.6925 0.9758  1 Ga 2.03
Nd1 0.0000 0.5000 0.5000  6 O 2.36-2.44
Ga1 0.0000 0.5000 0.0000  4 O 2.03
O3 0.2679 0.7525 0.5358  3 Na 2.34-2.51, 2 Nd 2.36
Na1 0.5000 0.0000 0.0000  2 O 2.34
Na2 0.5000 0.0000 0.5000  6 O 2.50-2.67
Na3 0.0000 0.0000 0.0000  6 O 2.50-2.70
Nd2 0.5000 0.5000 0.5000  6 O 2.36-2.44
O4 0.7331 0.7185 0.4662  3 Nd 2.36, 2 Na 2.50
O5 0.2669 0.2815 0.5338  3 Nd 2.36, 2 Na 2.50
O6 0.7755 0.6925 0.9758  1 Ga 2.03
O7 0.7997 0.3075 0.0242  1 Ga 2.03
Na4 0.0000 0.0000 0.5000  6 O 2.50-2.67
O8 0.7321 0.2475 0.4642  3 Na 2.34-2.51, 2 Nd 2.36
Nd3 0.5000 0.5000 0.0000  6 O 2.36-2.43

Properties
DFT total energy in eV per atom: -6.198
Crystal system: monoclinic

---

Record 2
Computed, not measured: a geometry-optimized NaTl12Sb7 structure at the GGA-PBE level of DFT.

Cell lengths 8.8665, 8.8665, 8.8665 Å; angles 97.61, 97.61, 97.61 degrees
Closest atoms and distances in Å follow each position.
Atoms (fractional coordinates):
Sb1 0.9428 0.6263 0.9416  1 Sb 2.84
Tl1 0.1404 0.4321 0.4330  3 Sb 3.13-3.26, 1 Tl 3.20
Na1 0.0000 0.0000 0.0000  6 Sb 3.25
Tl2 0.2360 0.7729 0.2341  4 Sb 3.33-3.72, 2 Tl 3.59-3.73, 1 Na 3.72
Sb2 0.3737 0.0584 0.0572  1 Sb 2.84
Tl3 0.7640 0.2271 0.7659  4 Sb 3.33-3.72, 2 Tl 3.59-3.73, 1 Na 3.72
Tl4 0.8596 0.5679 0.5670  3 Sb 3.13-3.26, 1 Tl 3.20
Sb3 0.0572 0.3737 0.0584  1 Sb 2.84
Tl5 0.4330 0.1404 0.4321  3 Sb 3.13-3.26, 1 Tl 3.20
Sb4 0.6263 0.9416 0.9428  1 Sb 2.84
Tl6 0.5670 0.8596 0.5679  3 Sb 3.13-3.26, 1 Tl 3.20
Tl7 0.7729 0.2341 0.2360  4 Sb 3.33-3.72, 2 Tl 3.59-3.73, 1 Na 3.72
Tl8 0.2271 0.7659 0.7640  4 Sb 3.33-3.72, 2 Tl 3.59-3.73, 1 Na 3.72
Sb5 0.9416 0.9428 0.6263  1 Sb 2.84
Tl9 0.2341 0.2360 0.7729  4 Sb 3.33-3.72, 2 Tl 3.59-3.73, 1 Na 3.72
Sb6 0.5000 0.5000 0.5000  6 Tl 3.13
Tl10 0.4321 0.4330 0.1404  3 Sb 3.13-3.26, 1 Tl 3.20
Tl11 0.7659 0.7640 0.2271  4 Sb 3.33-3.72, 2 Tl 3.59-3.73, 1 Na 3.72
Sb7 0.0584 0.0572 0.3737  1 Sb 2.84
Tl12 0.5679 0.5670 0.8596  3 Sb 3.13-3.26, 1 Tl 3.20

Properties
DFT total energy in eV per atom: -2.955
Energy relative to the lowest polymorph listed for this composition in meV per atom: 0.0
Crystal system: trigonal

---

Record 3
Computed, not measured: a geometry-optimized KBa2Mn structure at the GGA-PBE level of DFT.

Cell lengths 7.4156, 7.4156, 7.4156 Å; angles 136.64, 136.64, 62.99 degrees
Closest atoms and distances in Å follow each position.
Atoms (fractional coordinates):
Ba1 0.0000 0.0000 0.0000  4 K 3.87, 4 Ba 4.18, 4 Mn 4.18
K1 0.5000 0.5000 0.0000  8 Ba 3.87-4.18, 4 Mn 4.18
Mn1 0.7500 0.2500 0.5000  8 Ba 3.87-4.18, 4 K 4.18
Ba2 0.2500 0.7500 0.5000  4 Mn 3.87, 4 Ba 4.18, 4 K 4.18

Properties
DFT total energy in eV per atom: -2.941
Energy relative to the lowest polymorph listed for this composition in meV per atom: 235.0
Crystal system: tetragonal
Energy of formation in eV per atom: 0.587

---

Record 4
Computed, not measured: a geometry-optimized HfTiSF2 structure at the GGA-PBE level of DFT.

Cell lengths 3.7839, 6.1942, 3.7839 Å; angles 90.00, 90.00, 90.00 degrees
Closest atoms and distances in Å follow each position.
Atoms (fractional coordinates):
F1 0.0000 0.0000 0.5000  2 Ti 1.89
Ti1 0.0000 0.0000 0.0000  4 F 1.89
F2 0.5000 0.0000 0.0000  2 Ti 1.89
Hf1 0.0000 0.5000 0.0000  4 S 2.68
S1 0.5000 0.5000 0.5000  4 Hf 2.68

Properties
DFT total energy in eV per atom: -7.019
Crystal system: tetragonal